Record 1
This record from the Alexandria database describes a relaxed structure of Rb2CrSeBr6. The functional is PBE.

Values from the calculation:
V = 342.7 Å³/f.u.
Formation energy from raw total energies = -865.2 meV/atom

Cell: 8.071 8.071 10.521 Å, 90.00 90.00 90.00°
Space group I4/mmm (No. 139)
Asymmetric unit:
Rb: 0.000 0.500 0.250 (multiplicity 4)
Cr: 0.000 0.000 0.000 (multiplicity 2)
Se: 0.000 0.000 0.500 (multiplicity 2)
Br: 0.000 0.000 0.254 (multiplicity 4)
Br: 0.221 0.221 0.000 (multiplicity 8)

Record 2
This record from the Alexandria database describes a relaxed structure of Sm8Tm6Tl. The functional is PBE.

Values from the calculation:
E_form = 0.097 eV/atom
V = 485.2 Å³/f.u.

Cell: 9.3637 9.3637 6.3902 Å, 90.00 90.00 120.00°
Space group P-3 (No. 147)
Asymmetric unit:
Sm: 0.0429 0.2723 0.3171 (multiplicity 6)
Sm: 0.3333 0.6667 0.3170 (multiplicity 2)
Tm: 0.0980 0.4534 0.8258 (multiplicity 6)
Tl: 0.0000 0.0000 0.0000 (multiplicity 1)

Record 3
This record from the Alexandria database describes a relaxed structure of Ag3CCl. The functional is PBE.

Values from the calculation:
V = 87.1 Å³/f.u.
Energy above the lowest structure with this stoichiometry = 0 meV per atom
Formation energy from raw total energies = 782.4 meV/atom

Cell: 4.433 4.433 4.433 Å, 90.00 90.00 90.00°
Space group Pm-3m (No. 221)
Asymmetric unit:
Ag: 0.000 0.000 0.500 (multiplicity 3)
C: 0.000 0.000 0.000 (multiplicity 1)
Cl: 0.500 0.500 0.500 (multiplicity 1)

Record 4
This record from the Alexandria database describes a relaxed structure of NiHRh. The functional is PBE.

Values from the calculation:
V = 30.3 Å³/f.u.
DFT total energy = -15.14 eV/f.u.

Cell: 4.951 4.951 4.951 Å, 90.00 90.00 90.00°
Space group F-43m (No. 216)
Asymmetric unit:
Ni: 0.000 0.000 0.000 (multiplicity 4)
H: 0.250 0.250 0.250 (multiplicity 4)
Rh: 0.000 0.000 0.500 (multiplicity 4)

Record 5
This record from the Alexandria database describes a relaxed structure of Ce2TlCu2Se6. The functional is PBE.

Values from the calculation:
V = 306.2 Å³/f.u.
Formation energy from raw total energies = -927.7 meV/atom

Cell: 7.181 7.193 7.687 Å, 93.18 117.75 113.95°
Space group P-1 (No. 2)
Asymmetric unit:
Ce: 0.164 0.320 0.496 (multiplicity 2)
Tl: 0.500 0.000 0.500 (multiplicity 1)
Cu: 0.078 0.454 0.868 (multiplicity 2)
Se: 0.027 0.103 0.755 (multiplicity 2)
Se: 0.292 0.709 0.747 (multiplicity 2)
Se: 0.315 0.553 0.243 (multiplicity 2)

Record 6
This record from the Alexandria database describes a relaxed structure of ReSb2Rh. The functional is PBE.

Values from the calculation:
V = 105.3 Å³/f.u.
Energy above the lowest structure with this stoichiometry = 479 meV per atom
Formation energy from raw total energies = 629.6 meV/atom

Cell: 5.933 5.933 11.969 Å, 90.00 90.00 90.00°
Space group I-42d (No. 122)
Asymmetric unit:
Re: 0.000 0.000 0.000 (multiplicity 4)
Sb: 0.249 0.250 0.625 (multiplicity 8)
Rh: 0.000 0.000 0.500 (multiplicity 4)

Record 7
This record from the Alexandria database describes a relaxed structure of CsCd2Cu2. The functional is PBE.

Values from the calculation:
E_form = 0.330 eV/atom
V = 120.0 Å³/f.u.
Energy above the lowest structure with this stoichiometry = 112 meV per atom

Cell: 8.764 8.764 3.124 Å, 90.00 90.00 90.00°
Space group P4/mbm (No. 127)
Asymmetric unit:
Cs: 0.000 0.000 0.000 (multiplicity 2)
Cd: 0.123 0.377 0.000 (multiplicity 4)
Cu: 0.158 0.658 0.500 (multiplicity 4)

Record 8
This record from the Alexandria database describes a relaxed structure of TcTeRu2. The functional is PBE.

Values from the calculation:
V = 64.9 Å³/f.u.
Formation energy from raw total energies = 529.7 meV/atom

Cell: 2.9583 2.9583 25.6753 Å, 90.00 90.00 120.00°
Space group R3m (No. 160, hexagonal axes)
Asymmetric unit:
Tc: 0.0000 0.0000 0.0000 (multiplicity 3)
Te: 0.0000 0.0000 0.7544 (multiplicity 3)
Ru: 0.0000 0.0000 0.2538 (multiplicity 3)
Ru: 0.0000 0.0000 0.5037 (multiplicity 3)

Record 9
This record from the Alexandria database describes a relaxed structure of SrMg6Nb. The functional is PBE.

Values from the calculation:
E_form = 0.157 eV/atom
V = 195.2 Å³/f.u.
Energy above the lowest structure with this stoichiometry = 0 meV per atom

Cell: 6.584 6.584 4.503 Å, 90.00 90.00 90.00°
Space group P4/mmm (No. 123)
Asymmetric unit:
Sr: 0.000 0.000 0.000 (multiplicity 1)
Mg: 0.000 0.500 0.000 (multiplicity 2)
Mg: 0.278 0.278 0.500 (multiplicity 4)
Nb: 0.500 0.500 0.000 (multiplicity 1)

Record 10
This record from the Alexandria database describes a relaxed structure of Hf5Sc. The functional is PBE.

Values from the calculation:
E_form = 0.073 eV/atom
V = 135.4 Å³/f.u.
Energy above the lowest structure with this stoichiometry = 86 meV per atom

Cell: 10.062 4.473 6.341 Å, 90.00 108.44 90.00°
Space group C2/m (No. 12)
Asymmetric unit:
Hf: 0.000 0.000 0.000 (multiplicity 2)
Hf: 0.167 0.500 0.328 (multiplicity 4)
Hf: 0.169 0.500 0.838 (multiplicity 4)
Sc: 0.000 0.000 0.500 (multiplicity 2)

Record 11
This record from the Alexandria database describes a relaxed structure of MgZr2Ir. The functional is PBE.

Values from the calculation:
E_form = -0.354 eV/atom
V = 79.4 Å³/f.u.

Cell: 3.349 4.759 9.963 Å, 90.00 90.00 90.00°
Space group Imm2 (No. 44)
Asymmetric unit:
Mg: 0.000 0.000 0.000 (multiplicity 2)
Zr: 0.000 0.000 0.562 (multiplicity 2)
Zr: 0.000 0.500 0.786 (multiplicity 2)
Ir: 0.000 0.500 0.278 (multiplicity 2)

Record 12
This record from the Alexandria database describes a relaxed structure of MgTaTl2. The functional is PBE.

Values from the calculation:
E_form = 0.851 eV/atom
V = 94.8 Å³/f.u.

Cell: 7.239 7.239 7.239 Å, 90.00 90.00 90.00°
Space group F-43m (No. 216)
Asymmetric unit:
Mg: 0.000 0.000 0.000 (multiplicity 4)
Ta: 0.250 0.250 0.250 (multiplicity 4)
Tl: 0.000 0.000 0.500 (multiplicity 4)
Tl: 0.250 0.250 0.750 (multiplicity 4)